Er4Tm6Th: relaxed, PBE-GGA.

Properties
Energy of formation from the pure elements   138 meV per atom
Space-group type   Cmcm
Fermi-level density of states   1.653 states/eV/atom
Calculated volume   679.15 Å³/cell

Cell lengths 5.584, 5.567, 25.256 Å; angles 90.00, 90.00, 120.10 degrees
Positions (direct):
Tm  0.837  0.675  0.818
Tm  0.500  0.000  0.500
Tm  0.830  0.660  0.101
Tm  0.504  0.008  0.750
Tm  0.170  0.340  0.899
Tm  0.163  0.325  0.318
Tm  0.163  0.325  0.182
Tm  0.170  0.340  0.601
Tm  0.496  0.992  0.250
Tm  0.500  0.000  0.000
Tm  0.830  0.660  0.399
Tm  0.837  0.675  0.682
Er  0.496  0.992  0.378
Er  0.166  0.331  0.041
Er  0.166  0.331  0.459
Er  0.834  0.669  0.541
Er  0.504  0.008  0.878
Er  0.504  0.008  0.622
Er  0.834  0.669  0.959
Er  0.496  0.992  0.122
Th  0.170  0.341  0.750
Th  0.830  0.659  0.250

Er6Tm5Th: relaxed, PBE-GGA.

Properties
Energy of formation from the pure elements   30 meV per atom
Space-group type   Immm
Fermi-level density of states   1.527 states/eV/atom
Calculated volume   366.62 Å³/cell

Cell lengths 9.288, 9.288, 4.956 Å; angles 105.47, 105.47, 106.59 degrees
Positions (direct):
Tm  0.500  0.500  0.500
Tm  0.667  0.333  0.000
Tm  0.834  0.166  0.500
Tm  0.166  0.834  0.500
Tm  0.333  0.667  0.000
Er  0.585  0.915  0.750
Er  0.916  0.585  0.750
Er  0.751  0.751  0.251
Er  0.249  0.249  0.749
Er  0.084  0.415  0.250
Er  0.415  0.085  0.250
Th  0.000  0.000  0.000

Er3Tm7Th: relaxed, PBE-GGA.

Properties
Energy of formation from the pure elements   164 meV per atom
Space-group type   C2/m
Fermi-level density of states   1.607 states/eV/atom
Calculated volume   687.83 Å³/cell

Cell lengths 9.775, 9.775, 13.014 Å; angles 100.82, 100.82, 139.04 degrees
Positions (direct):
Tm  0.118  0.441  0.028
Tm  0.559  0.882  0.472
Tm  0.441  0.118  0.528
Tm  0.088  0.913  0.250
Tm  0.882  0.559  0.972
Tm  0.912  0.087  0.750
Tm  0.087  0.912  0.750
Tm  0.882  0.559  0.472
Tm  0.501  0.501  0.250
Tm  0.118  0.441  0.528
Tm  0.913  0.088  0.250
Tm  0.499  0.499  0.750
Tm  0.559  0.882  0.972
Tm  0.441  0.118  0.028
Er  0.501  0.000  0.250
Er  0.000  0.501  0.250
Er  0.000  0.000  0.500
Er  0.000  0.000  0.000
Er  0.499  0.000  0.750
Er  0.000  0.499  0.750
Th  0.500  0.500  0.000
Th  0.500  0.500  0.500

Er8Tm3Th4: relaxed, PBE-GGA.

Properties
Energy of formation from the pure elements   443 meV per atom
Space-group type   C2/m
Fermi-level density of states   1.971 states/eV/atom
Calculated volume   488.29 Å³/cell

Cell lengths 11.569, 9.227, 9.227 Å; angles 88.04, 128.64, 128.64 degrees
Positions (direct):
Th  0.000  0.000  0.000
Th  0.500  0.000  0.000
Th  0.000  0.000  0.500
Th  0.000  0.500  0.000
Er  0.012  0.274  0.274
Er  0.000  0.362  0.638
Er  0.500  0.748  0.252
Er  0.503  0.760  0.760
Er  0.988  0.726  0.726
Er  0.500  0.252  0.748
Er  0.000  0.638  0.362
Er  0.497  0.240  0.240
Tm  0.500  0.500  0.500
Tm  0.500  0.500  0.000
Tm  0.500  0.000  0.500